Record 1
# Rb4PdO4 | the Alexandria database | PBE | optimized geometry
# * density of states at the Fermi level: 9.63 states/eV per cell
# * space-group type: I4/m
# * formation energy without anion corrections: -0.96 eV/atom
# * magnetization: 4.0 μB/cell
# * polymorph energy (0 for the lowest one): 0 meV/atom
data_Rb4PdO4
_chemical_formula_sum 'Rb8 Pd2 O8'
_cell_length_a 5.638
_cell_length_b 8.421
_cell_length_c 8.421
_cell_angle_alpha 90.00
_cell_angle_beta 90.00
_cell_angle_gamma 90.00
_space_group_name_H-M_alt 'P 1'
_space_group_IT_number 1
loop_
_space_group_symop_operation_xyz
'x,y,z'
loop_
_atom_site_label
_atom_site_fract_x
_atom_site_fract_y
_atom_site_fract_z
_atom_site_occupancy
Rb1 0.250 0.544 0.144 1
Rb2 0.250 0.956 0.356 1
Rb3 0.750 0.856 0.044 1
Rb4 0.750 0.644 0.456 1
Rb5 0.750 0.456 0.856 1
Rb6 0.750 0.044 0.644 1
Rb7 0.250 0.144 0.956 1
Rb8 0.250 0.356 0.544 1
Pd1 0.750 0.250 0.250 1
Pd2 0.250 0.750 0.750 1
O1 0.250 0.681 0.524 1
O2 0.250 0.819 0.976 1
O3 0.750 0.476 0.181 1
O4 0.750 0.024 0.319 1
O5 0.750 0.319 0.476 1
O6 0.750 0.181 0.024 1
O7 0.250 0.524 0.819 1
O8 0.250 0.976 0.681 1



Record 2
# RbPd4O8 | the Alexandria database | PBE | optimized geometry
# * density of states at the Fermi level: 8.06 states/eV per cell
# * space-group type: R-3m
# * formation energy without anion corrections: -0.55 eV/atom
# * magnetization: 0.9 μB/cell
data_RbPd4O8
_chemical_formula_sum 'Rb1 Pd4 O8'
_cell_length_a 6.250
_cell_length_b 6.250
_cell_length_c 7.714
_cell_angle_alpha 66.10
_cell_angle_beta 66.10
_cell_angle_gamma 60.00
_space_group_name_H-M_alt 'P 1'
_space_group_IT_number 1
loop_
_space_group_symop_operation_xyz
'x,y,z'
loop_
_atom_site_label
_atom_site_fract_x
_atom_site_fract_y
_atom_site_fract_z
_atom_site_occupancy
Rb1 0.500 0.500 0.500 1
Pd1 0.500 0.000 0.000 1
Pd2 0.500 0.500 0.000 1
Pd3 0.000 0.500 0.000 1
Pd4 0.000 0.000 0.000 1
O1 0.783 0.288 0.147 1
O2 0.712 0.217 0.853 1
O3 0.217 0.712 0.853 1
O4 0.217 0.217 0.853 1
O5 0.284 0.284 0.147 1
O6 0.716 0.716 0.853 1
O7 0.783 0.783 0.147 1
O8 0.288 0.783 0.147 1



Record 3
# RbRe2PdO8 | the Alexandria database | PBE | optimized geometry
# * density of states at the Fermi level: 1.34 states/eV per cell
# * space-group type: C2/m
# * formation energy without anion corrections: -1.48 eV/atom
# * magnetization: 1.0 μB/cell
data_RbRe2PdO8
_chemical_formula_sum 'Rb1 Re2 Pd1 O8'
_cell_length_a 5.580
_cell_length_b 5.580
_cell_length_c 8.301
_cell_angle_alpha 84.24
_cell_angle_beta 84.24
_cell_angle_gamma 70.32
_space_group_name_H-M_alt 'P 1'
_space_group_IT_number 1
loop_
_space_group_symop_operation_xyz
'x,y,z'
loop_
_atom_site_label
_atom_site_fract_x
_atom_site_fract_y
_atom_site_fract_z
_atom_site_occupancy
Rb1 0.000 0.000 0.500 1
Re1 0.625 0.625 0.222 1
Re2 0.375 0.375 0.778 1
Pd1 0.000 0.000 0.000 1
O1 0.708 0.257 0.792 1
O2 0.771 0.771 0.060 1
O3 0.695 0.695 0.409 1
O4 0.305 0.305 0.591 1
O5 0.229 0.229 0.940 1
O6 0.257 0.708 0.792 1
O7 0.743 0.292 0.208 1
O8 0.292 0.743 0.208 1



Record 4
# RbPdRhO6 | the Alexandria database | PBE | optimized geometry
# * density of states at the Fermi level: 7.12 states/eV per cell
# * space-group type: P312
# * formation energy without anion corrections: -0.53 eV/atom
# * magnetization: 0.0 μB/cell
data_RbPdRhO6
_chemical_formula_sum 'Rb1 Pd1 Rh1 O6'
_cell_length_a 5.307
_cell_length_b 5.307
_cell_length_c 6.247
_cell_angle_alpha 90.00
_cell_angle_beta 90.00
_cell_angle_gamma 60.00
_space_group_name_H-M_alt 'P 1'
_space_group_IT_number 1
loop_
_space_group_symop_operation_xyz
'x,y,z'
loop_
_atom_site_label
_atom_site_fract_x
_atom_site_fract_y
_atom_site_fract_z
_atom_site_occupancy
Rb1 0.000 0.000 0.000 1
Pd1 0.667 0.667 0.500 1
Rh1 0.333 0.333 0.500 1
O1 0.007 0.394 0.323 1
O2 0.394 0.007 0.677 1
O3 0.599 0.394 0.677 1
O4 0.007 0.599 0.677 1
O5 0.394 0.599 0.323 1
O6 0.599 0.007 0.323 1



Record 5
# Rb3Pd3RhO8 | the Alexandria database | PBE | optimized geometry
# * density of states at the Fermi level: 3.32 states/eV per cell
# * space-group type: C2/m
# * formation energy without anion corrections: -0.76 eV/atom
# * magnetization: 1.9 μB/cell
data_Rb3Pd3RhO8
_chemical_formula_sum 'Rb3 Pd3 Rh1 O8'
_cell_length_a 6.326
_cell_length_b 6.702
_cell_length_c 7.218
_cell_angle_alpha 116.42
_cell_angle_beta 90.00
_cell_angle_gamma 118.16
_space_group_name_H-M_alt 'P 1'
_space_group_IT_number 1
loop_
_space_group_symop_operation_xyz
'x,y,z'
loop_
_atom_site_label
_atom_site_fract_x
_atom_site_fract_y
_atom_site_fract_z
_atom_site_occupancy
Rb1 0.000 0.000 0.000 1
Rb2 0.000 0.500 0.000 1
Rb3 0.500 0.500 0.000 1
Pd1 0.500 0.000 0.500 1
Pd2 0.500 0.500 0.500 1
Pd3 0.000 0.500 0.500 1
Rh1 0.000 0.000 0.500 1
O1 0.294 0.588 0.357 1
O2 0.706 0.412 0.643 1
O3 0.798 0.595 0.362 1
O4 0.202 0.405 0.638 1
O5 0.759 0.019 0.326 1
O6 0.241 0.981 0.674 1
O7 0.260 0.019 0.326 1
O8 0.740 0.981 0.674 1



Record 6
# Rb2PdS8O26 | the Alexandria database | PBE | optimized geometry
# * space-group type: P-1
# * formation energy without anion corrections: -1.25 eV/atom
# * magnetization: 0.1 μB/cell
data_Rb2PdS8O26
_chemical_formula_sum 'Rb2 Pd1 S8 O26'
_cell_length_a 7.785
_cell_length_b 9.125
_cell_length_c 9.330
_cell_angle_alpha 103.20
_cell_angle_beta 89.58
_cell_angle_gamma 107.69
_space_group_name_H-M_alt 'P 1'
_space_group_IT_number 1
loop_
_space_group_symop_operation_xyz
'x,y,z'
loop_
_atom_site_label
_atom_site_fract_x
_atom_site_fract_y
_atom_site_fract_z
_atom_site_occupancy
Rb1 0.127 0.246 0.859 1
Rb2 0.873 0.754 0.141 1
Pd1 0.500 0.500 0.500 1
S1 0.669 0.340 0.701 1
S2 0.331 0.660 0.299 1
S3 0.859 0.187 0.467 1
S4 0.141 0.813 0.533 1
S5 0.370 0.182 0.236 1
S6 0.630 0.818 0.764 1
S7 0.765 0.260 0.191 1
S8 0.235 0.740 0.809 1
O1 0.688 0.179 0.559 1
O2 0.312 0.821 0.441 1
O3 0.698 0.468 0.621 1
O4 0.302 0.532 0.379 1
O5 0.818 0.373 0.807 1
O6 0.182 0.627 0.193 1
O7 0.841 0.310 0.366 1
O8 0.159 0.690 0.634 1
O9 0.023 0.271 0.556 1
O10 0.977 0.729 0.444 1
O11 0.488 0.272 0.738 1
O12 0.512 0.728 0.262 1
O13 0.830 0.033 0.374 1
O14 0.170 0.967 0.626 1
O15 0.410 0.265 0.395 1
O16 0.590 0.735 0.605 1
O17 0.575 0.134 0.189 1
O18 0.425 0.866 0.811 1
O19 0.753 0.406 0.168 1
O20 0.247 0.594 0.832 1
O21 0.875 0.177 0.107 1
O22 0.125 0.823 0.893 1
O23 0.352 0.276 0.136 1
O24 0.648 0.724 0.864 1
O25 0.250 0.024 0.217 1
O26 0.750 0.976 0.783 1



Record 7
# RbSbPdO2 | the Alexandria database | PBE | optimized geometry
# * density of states at the Fermi level: 3.90 states/eV per cell
# * space-group type: P4/mmm
# * formation energy without anion corrections: 1.02 eV/atom
# * magnetization: 0.8 μB/cell
data_RbSbPdO2
_chemical_formula_sum 'Rb1 Sb1 Pd1 O2'
_cell_length_a 4.188
_cell_length_b 8.226
_cell_length_c 4.188
_cell_angle_alpha 90.00
_cell_angle_beta 90.00
_cell_angle_gamma 90.00
_space_group_name_H-M_alt 'P 1'
_space_group_IT_number 1
loop_
_space_group_symop_operation_xyz
'x,y,z'
loop_
_atom_site_label
_atom_site_fract_x
_atom_site_fract_y
_atom_site_fract_z
_atom_site_occupancy
O1 0.000 0.000 0.500 1
O2 0.500 0.000 0.000 1
Sb1 0.000 0.500 0.000 1
Rb1 0.000 0.000 0.000 1
Pd1 0.500 0.500 0.500 1



Record 8
# RbScPdO3 | the Alexandria database | PBE | optimized geometry
# * density of states at the Fermi level: 6.61 states/eV per cell
# * space-group type: P2_1/m
# * formation energy without anion corrections: -1.75 eV/atom
# * magnetization: 0.0 μB/cell
data_RbScPdO3
_chemical_formula_sum 'Rb2 Sc2 Pd2 O6'
_cell_length_a 3.288
_cell_length_b 6.953
_cell_length_c 9.926
_cell_angle_alpha 110.78
_cell_angle_beta 90.00
_cell_angle_gamma 90.00
_space_group_name_H-M_alt 'P 1'
_space_group_IT_number 1
loop_
_space_group_symop_operation_xyz
'x,y,z'
loop_
_atom_site_label
_atom_site_fract_x
_atom_site_fract_y
_atom_site_fract_z
_atom_site_occupancy
Rb1 0.250 0.245 0.245 1
Rb2 0.750 0.755 0.755 1
Sc1 0.250 0.657 0.125 1
Sc2 0.750 0.343 0.875 1
Pd1 0.250 0.111 0.599 1
Pd2 0.750 0.889 0.401 1
O1 0.750 0.874 0.182 1
O2 0.250 0.126 0.818 1
O3 0.250 0.703 0.363 1
O4 0.750 0.297 0.637 1
O5 0.750 0.443 0.094 1
O6 0.250 0.557 0.906 1



Record 9
# Rb2ScPdO4 | the Alexandria database | PBE | optimized geometry
# * density of states at the Fermi level: 6.89 states/eV per cell
# * space-group type: Fddd
# * formation energy without anion corrections: -1.47 eV/atom
# * magnetization: 2.1 μB/cell
data_Rb2ScPdO4
_chemical_formula_sum 'Rb4 Sc2 Pd2 O8'
_cell_length_a 5.632
_cell_length_b 7.201
_cell_length_c 11.129
_cell_angle_alpha 84.32
_cell_angle_beta 75.34
_cell_angle_gamma 66.98
_space_group_name_H-M_alt 'P 1'
_space_group_IT_number 1
loop_
_space_group_symop_operation_xyz
'x,y,z'
loop_
_atom_site_label
_atom_site_fract_x
_atom_site_fract_y
_atom_site_fract_z
_atom_site_occupancy
Rb1 0.187 0.000 0.625 1
Rb2 0.813 0.000 0.375 1
Rb3 0.563 0.500 0.875 1
Rb4 0.937 0.500 0.125 1
Sc1 0.750 0.500 0.500 1
Sc2 0.000 0.000 0.000 1
Pd1 0.250 0.500 0.500 1
Pd2 0.500 0.000 0.000 1
O1 0.318 0.800 0.054 1
O2 0.172 0.200 0.946 1
O3 0.882 0.800 0.946 1
O4 0.628 0.200 0.054 1
O5 0.432 0.700 0.446 1
O6 0.578 0.300 0.554 1
O7 0.868 0.700 0.554 1
O8 0.122 0.300 0.446 1



| no. | mass density (g/cm3) |
| --- | --- |
| 1 | 4.26 |
| 2 | 4.60 |
| 3 | 4.76 |
| 4 | 4.26 |
| 5 | 5.75 |
| 6 | 2.57 |
| 7 | 3.98 |
| 8 | 4.46 |
| 9 | 3.19 |